1.
Density functional theory data (GGA-PBE) for an optimized crystal structure of Pr2Al9Pt3.

Cell: 13.375 7.703 10.620 Å, 90.00 114.76 90.00°
Space group C2/c (No. 15)
One atom of each set of equivalent atoms:
Pr 0.169 0.084 0.250 [8 per cell]
Al 0.000 0.376 0.250 [4 per cell]
Al 0.060 0.085 0.929 [8 per cell]
Al 0.101 0.416 0.055 [8 per cell]
Al 0.102 0.316 0.749 [8 per cell]
Al 0.225 0.418 0.431 [8 per cell]
Pt 0.084 0.245 0.500 [8 per cell]
Pt 0.250 0.250 0.000 [4 per cell]

Summary:
The formation enthalpy at 0 K is -1138 kJ/mol of formula units. The calculation puts the density of states at the Fermi level at 21.71 states/eV/cell. The value obtained for the total energy is -5.2259 eV/atom.

2.
Density functional theory data (GGA-PBE) for an optimized crystal structure of Tc2Ni5Pt2.

Cell: 11.796 9.501 4.552 Å, 90.00 112.60 90.00°
Space group Cc (No. 9)
One atom of each set of equivalent atoms:
Tc 0.000 0.203 0.000 [4 per cell]
Tc 0.236 0.203 0.237 [4 per cell]
Ni 0.013 0.050 0.514 [4 per cell]
Ni 0.118 0.435 0.150 [4 per cell]
Ni 0.222 0.050 0.728 [4 per cell]
Ni 0.316 0.462 0.115 [4 per cell]
Ni 0.419 0.037 0.221 [4 per cell]
Pt 0.118 0.302 0.635 [4 per cell]
Pt 0.368 0.249 0.844 [4 per cell]

Summary:
The formation enthalpy at 0 K is 87 kJ/mol of formula units. The calculation puts the density of states at the Fermi level at 52.32 states/eV/cell. The value obtained for the total energy is -6.7571 eV/atom.

3.
Density functional theory data (GGA-PBE) for an optimized crystal structure of LiNdPa2Se4.

Cell: 6.888 3.986 7.428 Å, 90.00 108.03 90.00°
Space group P2/m (No. 10)
One atom of each set of equivalent atoms:
Li 0.000 0.000 0.000 [1 per cell]
Nd 0.500 0.500 0.000 [1 per cell]
Pa 0.000 0.500 0.500 [1 per cell]
Pa 0.500 0.000 0.500 [1 per cell]
Se 0.235 0.500 0.241 [2 per cell]
Se 0.237 0.000 0.753 [2 per cell]

Summary:
For the raw formation energy, the calculation gives -1.382 eV/atom. The calculation puts the density of states at the Fermi level at 10.22 states/eV/cell. The value obtained for the total energy is -6.3334 eV/atom.

4.
Density functional theory data (GGA-PBE) for an optimized crystal structure of Pr3DyEr2.

Cell: 11.485 11.678 6.413 Å, 90.00 90.00 90.00°
Space group Imma (No. 74)
One atom of each set of equivalent atoms:
Pr 0.211 0.000 0.000 [8 per cell]
Pr 0.250 0.250 0.250 [4 per cell]
Dy 0.000 0.250 0.801 [4 per cell]
Er 0.000 0.096 0.316 [8 per cell]

Summary:
The formation enthalpy at 0 K is 181 kJ/mol of formula units. As for the distance to the lowest polymorph of the same formula: 0.201 eV per atom. The calculation puts the density of states at the Fermi level at 37.64 states/eV/cell. The value obtained for the total energy is -4.3646 eV/atom.

5.
Density functional theory data (GGA-PBE) for an optimized crystal structure of AgPdPb2.

Cell: 4.6257 4.6257 16.1374 Å, 90.00 90.00 120.00°
Space group R3m (No. 160, hexagonal axes)
One atom of each set of equivalent atoms:
Ag 0.0000 0.0000 0.0000 [3 per cell]
Pd 0.0000 0.0000 0.8216 [3 per cell]
Pb 0.0000 0.0000 0.2239 [3 per cell]
Pb 0.0000 0.0000 0.4246 [3 per cell]

Summary:
The formation enthalpy at 0 K is 2 kJ/mol of formula units. As for the distance to the lowest polymorph of the same formula: 0.057 eV per atom. The calculation puts the density of states at the Fermi level at 5.76 states/eV/cell. The value obtained for the total energy is -3.8593 eV/atom.

6.
Density functional theory data (GGA-PBE) for an optimized crystal structure of V2Ge4Ir.

Cell: 14.547 2.973 5.732 Å, 90.00 111.93 90.00°
Space group C2/m (No. 12)
One atom of each set of equivalent atoms:
V 0.248 0.000 0.247 [4 per cell]
Ge 0.117 0.500 0.334 [4 per cell]
Ge 0.120 0.000 0.792 [4 per cell]
Ir 0.000 0.000 0.000 [2 per cell]

Summary:
The formation enthalpy at 0 K is -66 kJ/mol of formula units. The calculation puts the density of states at the Fermi level at 7.27 states/eV/cell. The value obtained for the total energy is -6.6078 eV/atom.

7.
Density functional theory data (GGA-PBE) for an optimized crystal structure of LiPmPuBi.

Cell: 7.665 7.665 7.665 Å, 90.00 90.00 90.00°
Space group F-43m (No. 216)
One atom of each set of equivalent atoms:
Li 0.000 0.000 0.000 [4 per cell]
Pm 0.250 0.250 0.250 [4 per cell]
Pu 0.250 0.250 0.750 [4 per cell]
Bi 0.000 0.000 0.500 [4 per cell]

Summary:
The formation enthalpy at 0 K is -71 kJ/mol of formula units. The calculation puts the density of states at the Fermi level at 43.81 states/eV/cell. The value obtained for the total energy is -6.4028 eV/atom.

8.
Density functional theory data (GGA-PBE) for an optimized crystal structure of LiCuTcIr.

Cell: 5.960 5.960 5.960 Å, 90.00 90.00 90.00°
Space group F-43m (No. 216)
One atom of each set of equivalent atoms:
Li 0.000 0.000 0.000 [4 per cell]
Cu 0.250 0.250 0.750 [4 per cell]
Tc 0.250 0.250 0.250 [4 per cell]
Ir 0.000 0.000 0.500 [4 per cell]

Summary:
The formation enthalpy at 0 K is 2 kJ/mol of formula units. The calculation puts the density of states at the Fermi level at 4.33 states/eV/cell. The value obtained for the total energy is -6.3049 eV/atom.

9.
Density functional theory data (GGA-PBE) for an optimized crystal structure of Li8Sb2F.

Cell: 4.847 5.818 13.354 Å, 90.00 90.00 90.00°
Space group Immm (No. 71)
One atom of each set of equivalent atoms:
Li 0.000 0.000 0.208 [4 per cell]
Li 0.000 0.249 0.000 [4 per cell]
Li 0.000 0.269 0.380 [8 per cell]
Sb 0.000 0.500 0.172 [4 per cell]
F 0.000 0.500 0.500 [2 per cell]

Summary:
For the raw formation energy, the calculation gives -0.843 eV/atom. The calculation puts the density of states at the Fermi level at 5.58 states/eV/cell. The value obtained for the total energy is -3.1543 eV/atom.

10.
Density functional theory data (GGA-PBE) for an optimized crystal structure of AcPmSi2Pd5.

Cell: 4.409 4.409 8.816 Å, 90.00 90.00 90.00°
Space group P4/mmm (No. 123)
One atom of each set of equivalent atoms:
Ac 0.000 0.000 0.000 [1 per cell]
Pm 0.000 0.000 0.500 [1 per cell]
Si 0.500 0.500 0.147 [2 per cell]
Pd 0.000 0.500 0.274 [4 per cell]
Pd 0.500 0.500 0.500 [1 per cell]

Summary:
For the raw formation energy, the calculation gives -0.864 eV/atom. The calculation puts the density of states at the Fermi level at 3.79 states/eV/cell. The value obtained for the total energy is -5.9382 eV/atom.

11.
Density functional theory data (GGA-PBE) for an optimized crystal structure of Rb4Pu3CuO12.

Cell: 8.600 8.600 8.600 Å, 90.00 90.00 90.00°
Space group Im-3m (No. 229)
One atom of each set of equivalent atoms:
Rb 0.250 0.250 0.250 [8 per cell]
Pu 0.000 0.000 0.500 [6 per cell]
Cu 0.000 0.000 0.000 [2 per cell]
O 0.000 0.000 0.277 [12 per cell]
O 0.000 0.250 0.500 [12 per cell]

Summary:
For the raw formation energy, the calculation gives -2.161 eV/atom. The calculation puts the density of states at the Fermi level at 21.86 states/eV/cell. The value obtained for the total energy is -7.6838 eV/atom.

12.
Density functional theory data (GGA-PBE) for an optimized crystal structure of TmMgSi2Pt2.

Cell: 4.2356 4.2356 6.6979 Å, 90.00 90.00 120.00°
Space group P-3m1 (No. 164)
One atom of each set of equivalent atoms:
Tm 0.0000 0.0000 0.0000 [1 per cell]
Mg 0.0000 0.0000 0.5000 [1 per cell]
Si 0.3333 0.6667 0.7143 [2 per cell]
Pt 0.3333 0.6667 0.2890 [2 per cell]

Summary:
For the raw formation energy, the calculation gives -0.944 eV/atom. The calculation puts the density of states at the Fermi level at 2.13 states/eV/cell. The value obtained for the total energy is -5.7758 eV/atom.

13.
Density functional theory data (GGA-PBE) for an optimized crystal structure of Zr2TeC.

Cell: 3.5690 3.5690 20.2460 Å, 90.00 90.00 120.00°
Space group R-3m (No. 166, hexagonal axes)
One atom of each set of equivalent atoms:
Zr 0.0000 0.0000 0.2241 [6 per cell]
Te 0.0000 0.0000 0.0000 [3 per cell]
C 0.0000 0.0000 0.5000 [3 per cell]

Summary:
For the raw formation energy, the calculation gives -0.832 eV/atom. The calculation puts the density of states at the Fermi level at 2.48 states/eV/cell. The value obtained for the total energy is -8.1972 eV/atom.

14.
Density functional theory data (GGA-PBE) for an optimized crystal structure of ZrBeIn.

Cell: 4.3197 4.3197 3.3473 Å, 90.00 90.00 120.00°
Space group P-6m2 (No. 187)
One atom of each set of equivalent atoms:
Zr 0.0000 0.0000 0.0000 [1 per cell]
Be 0.6667 0.3333 0.5000 [1 per cell]
In 0.3333 0.6667 0.5000 [1 per cell]

Summary:
The formation enthalpy at 0 K is -39 kJ/mol of formula units. As for the distance to the lowest polymorph of the same formula: 0.053 eV per atom. The calculation puts the density of states at the Fermi level at 0.99 states/eV/cell. The value obtained for the total energy is -5.1402 eV/atom.

15.
Density functional theory data (GGA-PBE) for an optimized crystal structure of K4Ac3SmTe8.

Cell: 9.5608 9.5608 24.8293 Å, 90.00 90.00 120.00°
Space group R-3m (No. 166, hexagonal axes)
One atom of each set of equivalent atoms:
K 0.0000 0.0000 0.0000 [3 per cell]
K 0.0000 0.5000 0.0000 [9 per cell]
Ac 0.0000 0.5000 0.5000 [9 per cell]
Sm 0.0000 0.0000 0.5000 [3 per cell]
Te 0.0000 0.0000 0.2418 [6 per cell]
Te 0.0124 0.5062 0.2393 [18 per cell]

Summary:
For the raw formation energy, the calculation gives -1.470 eV/atom. The calculation puts the density of states at the Fermi level at 0.00 states/eV/cell. The value obtained for the total energy is -4.3802 eV/atom.

16.
Density functional theory data (GGA-PBE) for an optimized crystal structure of CdTcO3.

Cell: 3.902 3.902 3.902 Å, 90.00 90.00 90.00°
Space group Pm-3m (No. 221)
One atom of each set of equivalent atoms:
Cd 0.000 0.000 0.000 [1 per cell]
Tc 0.500 0.500 0.500 [1 per cell]
O 0.000 0.500 0.500 [3 per cell]

Summary:
For the raw formation energy, the calculation gives -0.987 eV/atom. The calculation puts the density of states at the Fermi level at 3.64 states/eV/cell. The value obtained for the total energy is -6.2182 eV/atom.

17.
Density functional theory data (GGA-PBE) for an optimized crystal structure of TmInGaHg.

Cell: 4.381 4.427 4.599 Å, 90.00 90.00 90.00°
Space group Pmmm (No. 47)
One atom of each set of equivalent atoms:
Tm 0.000 0.000 0.000 [1 per cell]
In 0.000 0.500 0.500 [1 per cell]
Ga 0.500 0.500 0.000 [1 per cell]
Hg 0.500 0.000 0.500 [1 per cell]

Summary:
The formation enthalpy at 0 K is -140 kJ/mol of formula units. As for the distance to the lowest polymorph of the same formula: 0.000 eV per atom. The calculation puts the density of states at the Fermi level at 2.14 states/eV/cell. The value obtained for the total energy is -2.9964 eV/atom.

18.
Density functional theory data (GGA-PBE) for an optimized crystal structure of RbTlFe2N.

Cell: 4.902 4.902 6.587 Å, 90.00 90.00 90.00°
Space group P4/mmm (No. 123)
One atom of each set of equivalent atoms:
Rb 0.000 0.000 0.000 [1 per cell]
Tl 0.000 0.000 0.500 [1 per cell]
Fe 0.000 0.500 0.000 [2 per cell]
N 0.500 0.500 0.500 [1 per cell]

Summary:
For the raw formation energy, the calculation gives 2.987 eV/atom. The calculation puts the density of states at the Fermi level at 5.61 states/eV/cell. The value obtained for the total energy is -2.7296 eV/atom.

19.
Density functional theory data (GGA-PBE) for an optimized crystal structure of ZrAlCu5.

Cell: 4.138 4.138 6.280 Å, 90.00 90.00 90.00°
Space group P4/mmm (No. 123)
One atom of each set of equivalent atoms:
Zr 0.000 0.000 0.000 [1 per cell]
Al 0.000 0.000 0.500 [1 per cell]
Cu 0.000 0.500 0.281 [4 per cell]
Cu 0.500 0.500 0.000 [1 per cell]

Summary:
The formation enthalpy at 0 K is 41 kJ/mol of formula units. As for the distance to the lowest polymorph of the same formula: 0.252 eV per atom. The calculation puts the density of states at the Fermi level at 5.38 states/eV/cell. The value obtained for the total energy is -4.6215 eV/atom.

20.
Density functional theory data (GGA-PBE) for an optimized crystal structure of Ga2Ni8H3.

Cell: 11.911 5.267 4.255 Å, 90.00 107.26 90.00°
Space group C2/m (No. 12)
One atom of each set of equivalent atoms:
Ga 0.247 0.000 0.016 [4 per cell]
Ni 0.074 0.255 0.856 [8 per cell]
Ni 0.124 0.000 0.403 [4 per cell]
Ni 0.135 0.500 0.395 [4 per cell]
H 0.000 0.172 0.500 [4 per cell]
H 0.000 0.500 0.000 [2 per cell]

Summary:
The calculation puts the density of states at the Fermi level at 19.45 states/eV/cell. The value obtained for the total energy is -4.8328 eV/atom.